TaPtN3, relaxed, DFT PBE; V = 13.14 Å³ per atom; mass density = 10.6 g/cm³; DFT total energy = -7.598 eV/atom; symmetry = Pm-3m, No. 221
1.0
4.035 0.000 0.000
0.000 4.035 0.000
0.000 0.000 4.035
Ta Pt N
1 1 3
Cartesian
0.000 0.000 0.000
2.017 2.017 2.017
0.000 0.000 2.017
0.000 2.017 0.000
2.017 0.000 0.000

=====

TaPtN2, relaxed, DFT PBE; V = 10.90 Å³ per atom; mass density = 15.4 g/cm³; symmetry = Fm-3m, No. 225; ΔE to the lowest computed polymorph = 1.0971 eV per atom
1.0
0.000 2.793 2.793
2.793 0.000 2.793
2.793 2.793 0.000
Ta N Pt
1 2 1
Cartesian
0.000 0.000 0.000
4.190 4.190 4.190
1.397 1.397 1.397
2.793 2.793 2.793

=====

TaPtN3, relaxed, DFT PBE; V = 11.45 Å³ per atom; mass density = 12.1 g/cm³; DFT total energy = -7.054 eV/atom; symmetry = Pm-3m, No. 221
1.0
3.854 0.000 0.000
0.000 3.854 0.000
0.000 0.000 3.854
Pt N Ta
1 3 1
Cartesian
0.000 0.000 0.000
0.000 1.927 0.000
0.000 0.000 1.927
1.927 0.000 0.000
1.927 1.927 1.927

=====

Number 1: size of the total moment 0.001 μB per formula unit. Number 2: size of the total moment 0.000 μB per formula unit. Number 3: size of the total moment 0.000 μB per formula unit.